CsWSeS2: optimized geometry, PBE.

Cell lengths 5.7609, 7.6711, 8.2495 Å; angles 110.16, 102.27, 105.69 degrees
Positions (direct):
1 S 0.3470 0.4575 0.2667
2 S 0.7814 0.2581 0.3162
3 S 0.2186 0.7419 0.6838
4 S 0.6530 0.5425 0.7333
5 Cs 0.2149 0.8443 0.1422
6 Cs 0.7851 0.1557 0.8578
7 Se 0.2032 0.1544 0.5906
8 Se 0.7968 0.8456 0.4094
9 W 0.2234 0.4407 0.5065
10 W 0.7765 0.5593 0.4935

Calculated total energy ... -0.216 Ha/atom